(1)
This record from Alexandria describes crystalline CsCuSe2O8 at its relaxed geometry. The functional is PBE.

Geometry as POSCAR:
```
CsCuSe2O8
1.0
2.519 1.454 9.266
-2.519 1.454 9.266
0.000 -2.909 9.266
Cs Cu Se O
1 1 2 8
direct
0.000 0.000 0.000 Cs
0.500 0.500 0.500 Cu
0.228 0.228 0.228 Se
0.772 0.772 0.772 Se
0.124 0.483 0.763 O
0.237 0.876 0.517 O
0.288 0.288 0.288 O
0.483 0.763 0.124 O
0.517 0.237 0.876 O
0.712 0.712 0.712 O
0.763 0.124 0.483 O
0.876 0.517 0.237 O
```

Output
E_form (uncorrected) = -753.1 meV/atom
Space group = R-3
Volume = 203.66 Å³/cell

(2)
This record from Alexandria describes crystalline Cs2CuSeO4 at its relaxed geometry. The functional is PBE.

Geometry as POSCAR:
```
Cs2CuSeO4
1.0
0.000 6.345 10.583
2.758 0.000 10.583
2.758 6.345 0.000
Cs Cu Se O
4 2 2 8
direct
0.048 0.048 0.702 Cs
0.298 0.298 0.952 Cs
0.702 0.702 0.048 Cs
0.952 0.952 0.298 Cs
0.125 0.125 0.125 Cu
0.875 0.875 0.875 Cu
0.375 0.375 0.375 Se
0.625 0.625 0.625 Se
0.034 0.630 0.548 O
0.288 0.548 0.630 O
0.370 0.966 0.712 O
0.452 0.712 0.966 O
0.548 0.288 0.034 O
0.630 0.034 0.288 O
0.712 0.452 0.370 O
0.966 0.370 0.452 O
```

Output
E_form (uncorrected) = -868.6 meV/atom
Space group = Fddd
Volume = 370.40 Å³/cell
DOS at the Fermi energy = 3.9 states/eV per cell

(3)
This record from Alexandria describes crystalline Cs2CuSe2O6 at its relaxed geometry. The functional is PBE.

Geometry as POSCAR:
```
Cs2CuSe2O6
1.0
6.990 -2.700 0.000
6.990 2.700 0.000
-4.086 0.000 6.584
Cs Cu Se O
2 1 2 6
direct
0.206 0.206 0.218 Cs
0.794 0.794 0.782 Cs
0.000 0.000 0.500 Cu
0.478 0.478 0.208 Se
0.522 0.522 0.792 Se
0.174 0.686 0.279 O
0.314 0.826 0.721 O
0.380 0.380 0.653 O
0.620 0.620 0.347 O
0.686 0.174 0.279 O
0.826 0.314 0.721 O
```

Output
E_form (uncorrected) = -1106.8 meV/atom
Space group = C2/m
Volume = 248.56 Å³/cell
DOS at the Fermi energy = 0.1 states/eV per cell

(4)
This record from Alexandria describes crystalline CsSmCuO3 at its relaxed geometry. The functional is PBE.

Geometry as POSCAR:
```
CsSmCuO3
1.0
7.983 0.000 0.000
0.000 3.811 0.000
-3.614 0.000 8.431
Cs Sm Cu O
2 2 2 6
direct
0.210 0.250 0.206 Cs
0.790 0.750 0.794 Cs
0.325 0.750 0.861 Sm
0.675 0.250 0.139 Sm
0.042 0.250 0.624 Cu
0.958 0.750 0.376 Cu
0.057 0.750 0.606 O
0.135 0.250 0.854 O
0.481 0.750 0.127 O
0.519 0.250 0.873 O
0.865 0.750 0.146 O
0.943 0.250 0.394 O
```

Output
E_form (uncorrected) = -1903.2 meV/atom
Space group = P2_1/m
Volume = 256.48 Å³/cell
DOS at the Fermi energy = 2.5 states/eV per cell

(5)
This record from Alexandria describes crystalline CsSm2CuO4 at its relaxed geometry. The functional is PBE.

Geometry as POSCAR:
```
CsSm2CuO4
1.0
1.805 -6.148 0.000
1.805 6.148 0.000
0.000 0.000 12.195
Cs Sm Cu O
2 4 2 8
direct
0.101 0.899 0.750 Cs
0.899 0.101 0.250 Cs
0.366 0.634 0.559 Sm
0.366 0.634 0.941 Sm
0.634 0.366 0.059 Sm
0.634 0.366 0.441 Sm
0.172 0.828 0.250 Cu
0.828 0.172 0.750 Cu
0.000 0.000 0.000 O
0.000 0.000 0.500 O
0.249 0.751 0.095 O
0.249 0.751 0.405 O
0.406 0.594 0.750 O
0.594 0.406 0.250 O
0.751 0.249 0.595 O
0.751 0.249 0.905 O
```

Output
E_form (uncorrected) = -2355.9 meV/atom
Space group = Cmcm
Volume = 270.68 Å³/cell

(6)
This record from Alexandria describes crystalline Cs2SmCu2O4 at its relaxed geometry. The functional is PBE.

Geometry as POSCAR:
```
Cs2SmCu2O4
1.0
7.004 -1.808 0.000
7.004 1.808 0.000
-1.965 0.000 6.570
Cs Sm Cu O
2 1 2 4
direct
0.135 0.135 0.064 Cs
0.865 0.865 0.936 Cs
0.000 0.000 0.500 Sm
0.327 0.327 0.481 Cu
0.673 0.673 0.519 Cu
0.184 0.184 0.625 O
0.469 0.469 0.699 O
0.531 0.531 0.301 O
0.816 0.816 0.375 O
```

Output
E_form (uncorrected) = -1452.0 meV/atom
Space group = C2/m
Volume = 166.41 Å³/cell
DOS at the Fermi energy = 3.4 states/eV per cell

(7)
This record from Alexandria describes crystalline CsSrCuO2 at its relaxed geometry. The functional is PBE.

Geometry as POSCAR:
```
CsSrCuO2
1.0
3.649 -6.681 0.000
3.649 6.681 0.000
0.000 0.000 5.064
Cs Sr Cu O
2 2 2 4
direct
0.250 0.750 0.832 Cs
0.750 0.250 0.168 Cs
0.250 0.250 0.500 Sr
0.750 0.750 0.500 Sr
0.000 0.000 0.000 Cu
0.500 0.500 0.000 Cu
0.090 0.910 0.270 O
0.410 0.590 0.270 O
0.590 0.410 0.730 O
0.910 0.090 0.730 O
```

Output
E_form (uncorrected) = -1520.4 meV/atom
Space group = Cmme
Volume = 246.90 Å³/cell

(8)
This record from Alexandria describes crystalline CsTaCuO4 at its relaxed geometry. The functional is PBE.

Geometry as POSCAR:
```
CsTaCuO4
1.0
-3.110 3.130 5.869
3.110 -3.130 5.869
3.110 3.130 -5.869
Cs Ta Cu O
2 2 2 8
direct
0.335 0.085 0.250 Cs
0.665 0.915 0.750 Cs
0.000 0.000 0.500 Ta
0.000 0.500 0.000 Ta
0.000 0.500 0.500 Cu
0.500 0.500 0.000 Cu
0.174 0.230 0.556 O
0.174 0.618 0.944 O
0.194 0.243 0.952 O
0.209 0.757 0.452 O
0.791 0.243 0.548 O
0.806 0.757 0.048 O
0.826 0.382 0.056 O
0.826 0.770 0.444 O
```

Output
E_form (uncorrected) = -1669.6 meV/atom
Space group = Imma
Volume = 228.48 Å³/cell
DOS at the Fermi energy = 3.3 states/eV per cell

Listing final energy for the structures above in their given order: -5.052 -4.509 -4.972 -5.994 -6.633 -5.280 -4.830 -6.903 eV per atom.